Here is crystalline NaSc3Tl2F12 at its relaxed geometry from Alexandria. Energies are from GGA-PBE.

Lattice parameters (Å, degrees): 7.5978 7.5978 7.5978 62.48 62.48 62.48
With the nearest neighbours (Å) after each atom.
Element x y z (fractional)
F  0.2879  0.9197  0.2879  2 Sc 2.04
F  0.8892  0.8892  0.3931  1 Sc 2.00
F  0.1108  0.1108  0.6069  1 Sc 2.00
F  0.7121  0.7121  0.0803  2 Sc 2.04
F  0.2879  0.2879  0.9197  2 Sc 2.04
F  0.8892  0.3931  0.8892  1 Sc 2.00
F  0.1108  0.6069  0.1108  1 Sc 2.00
F  0.6069  0.1108  0.1108  1 Sc 2.00
F  0.3931  0.8892  0.8892  1 Sc 2.00
F  0.0803  0.7121  0.7121  2 Sc 2.04
F  0.9197  0.2879  0.2879  2 Sc 2.04
F  0.7121  0.0803  0.7121  2 Sc 2.04
Tl  0.6430  0.6430  0.6430  3 F 2.70
Tl  0.3570  0.3570  0.3570  3 F 2.70
Sc  0.0000  0.5000  0.0000  6 F 2.00-2.04
Sc  0.5000  0.0000  0.0000  6 F 2.00-2.04
Sc  0.0000  0.0000  0.5000  6 F 2.00-2.04
Na  0.0000  0.0000  0.0000  6 F 2.52

Output
Space group ... R-3m
E_form (uncorrected) ... -3359 meV/atom

***

Here is crystalline SmHo4Hg5 at its relaxed geometry from Alexandria. Energies are from GGA-PBE.

Lattice parameters (Å, degrees): 3.7157 3.7157 18.7102 90.00 90.00 90.00
With the nearest neighbours (Å) after each atom.
Element x y z (fractional)
Ho  0.0000  0.0000  0.4013  8 Hg 3.21-3.22
Ho  0.0000  0.0000  0.2034  8 Hg 3.19-3.21
Ho  0.0000  0.0000  0.5987  8 Hg 3.21-3.22
Ho  0.0000  0.0000  0.7966  8 Hg 3.19-3.21
Hg  0.5000  0.5000  0.8932  4 Ho 3.19, 4 Sm 3.30
Hg  0.5000  0.5000  0.6978  8 Ho 3.21-3.22
Hg  0.5000  0.5000  0.5000  8 Ho 3.21
Hg  0.5000  0.5000  0.3022  8 Ho 3.21-3.22
Hg  0.5000  0.5000  0.1068  4 Ho 3.19, 4 Sm 3.30
Sm  0.0000  0.0000  0.0000  8 Hg 3.30

Output
Space group ... P4/mmm
Formation energy from the elements ... -0.480 eV/atom

***

Here is crystalline YNb2NiGe at its relaxed geometry from Alexandria. Energies are from GGA-PBE.

Lattice parameters (Å, degrees): 4.9008 4.3922 4.9008 90.00 90.00 90.00
With the nearest neighbours (Å) after each atom.
Element x y z (fractional)
Ni  0.0000  0.5000  0.0000  2 Ge 2.20
Nb  0.0000  0.0000  0.5000  2 Ge 2.45
Nb  0.5000  0.0000  0.0000  2 Ge 2.45
Ge  0.0000  0.0000  0.0000  2 Ni 2.20, 4 Nb 2.45
Y  0.5000  0.5000  0.5000  8 Nb 3.29, 4 Ni 3.47

Output
Space group ... P4/mmm
Formation energy from the elements ... 0.452 eV/atom

***

Here is crystalline Na3Tm3CrS8 at its relaxed geometry from Alexandria. Energies are from GGA-PBE.

Lattice parameters (Å, degrees): 7.6180 7.6207 8.0968 118.10 90.00 119.99
With the nearest neighbours (Å) after each atom.
Element x y z (fractional)
S  0.7786  0.0137  0.2923  1 Cr 2.45, 2 Tm 2.70
S  0.2214  0.9863  0.7077  1 Cr 2.45, 2 Tm 2.70
S  0.7421  0.4842  0.7263  3 Tm 2.68, 3 Na 2.88
S  0.2579  0.5158  0.2737  3 Tm 2.68, 3 Na 2.88
S  0.2351  0.0137  0.2923  1 Cr 2.45, 2 Tm 2.70
S  0.7649  0.9863  0.7077  1 Cr 2.45, 2 Tm 2.70
S  0.7785  0.5571  0.2923  1 Cr 2.46, 2 Tm 2.70
S  0.2215  0.4429  0.7077  1 Cr 2.46, 2 Tm 2.70
Tm  0.5000  0.0000  0.5000  6 S 2.68-2.70
Tm  0.0000  0.5000  0.5000  6 S 2.68-2.70
Tm  0.5000  0.5000  0.5000  6 S 2.68-2.70
Na  0.5000  0.5000  0.0000  6 S 2.88-2.90
Na  0.0000  0.0000  0.0000  6 S 2.88-2.90
Na  0.0000  0.5000  0.0000  6 S 2.88-2.90
Cr  0.0000  0.0000  0.5000  6 S 2.45-2.46

Output
Space group ... R-3m
E_form (uncorrected) ... -1526 meV/atom

***

Here is crystalline Ba2HfTePd at its relaxed geometry from Alexandria. Energies are from GGA-PBE.

Lattice parameters (Å, degrees): 6.2347 5.0151 6.2347 90.00 90.00 90.00
With the nearest neighbours (Å) after each atom.
Element x y z (fractional)
Pd  0.0000  0.0000  0.0000  2 Hf 2.51
Hf  0.0000  0.5000  0.0000  2 Pd 2.51
Ba  0.0000  0.0000  0.5000  2 Pd 3.12
Ba  0.5000  0.0000  0.0000  2 Pd 3.12
Te  0.5000  0.5000  0.5000  8 Ba 4.00, 4 Hf 4.41

Output
Space group ... P4/mmm
E_form (uncorrected) ... -252 meV/atom

***

Here is crystalline SmTcAs2 at its relaxed geometry from Alexandria. Energies are from GGA-PBE.

Lattice parameters (Å, degrees): 4.2928 4.2928 5.4919 66.99 66.99 60.00
With the nearest neighbours (Å) after each atom.
Element x y z (fractional)
Tc  0.0000  0.0000  0.0000  6 As 2.60
Sm  0.5000  0.5000  0.5000  8 As 2.99-3.23
As  0.2800  0.2800  0.1599  3 Tc 2.60
As  0.7200  0.7200  0.8401  3 Tc 2.60

Output
Space group ... R-3m
Formation energy from the elements ... -0.672 eV/atom

***

Q: What is the formula in the first record?
A: NaSc3Tl2F12